1.
{
  "formula": "ReO2",
  "functional": "PBE",
  "state": "relaxed",
  "lattice": [[2.4168, -4.1639, 0.0000], [2.4168, 4.1639, 0.0000], [0.0000, 0.0000, 8.3937]],
  "species": ["Re", "Re", "Re", "Re", "O", "O", "O", "O", "O", "O", "O", "O"],
  "fractional_positions": [[0.1915, 0.7587, 0.9497], [0.2413, 0.8085, 0.5503], [0.7587, 0.1915, 0.0503], [0.8085, 0.2413, 0.4497], [0.0809, 0.0809, 0.5000], [0.2292, 0.5142, 0.1080], [0.3198, 0.6802, 0.7500], [0.4858, 0.7708, 0.3920], [0.5142, 0.2292, 0.8920], [0.6802, 0.3198, 0.2500], [0.7708, 0.4858, 0.6080], [0.9191, 0.9191, 0.0000]],
  "space_group": "No. 20",
  "e_tot_ev_per_atom": -8.40
}



2.
{
  "formula": "ReO2",
  "functional": "PBE",
  "state": "relaxed",
  "lattice": [[0.0000, 3.0611, 3.0611], [3.0611, 0.0000, 3.0611], [3.0611, 3.0611, 0.0000]],
  "species": ["Re", "Re", "O", "O", "O", "O"],
  "fractional_positions": [[0.1250, 0.1250, 0.1250], [0.8750, 0.8750, 0.8750], [0.0000, 0.5000, 0.5000], [0.5000, 0.0000, 0.5000], [0.5000, 0.5000, 0.0000], [0.5000, 0.5000, 0.5000]],
  "space_group": "No. 227",
  "e_tot_ev_per_atom": -5.96
}



3.
{
  "formula": "Re2O7",
  "functional": "PBE",
  "state": "relaxed",
  "lattice": [[5.3515, 0.0000, 0.0000], [0.0000, 12.3802, 0.0000], [0.0000, 0.0000, 14.8440]],
  "species": ["Re", "Re", "Re", "Re", "Re", "Re", "Re", "Re", "Re", "Re", "Re", "Re", "Re", "Re", "Re", "Re", "O", "O", "O", "O", "O", "O", "O", "O", "O", "O", "O", "O", "O", "O", "O", "O", "O", "O", "O", "O", "O", "O", "O", "O", "O", "O", "O", "O", "O", "O", "O", "O", "O", "O", "O", "O", "O", "O", "O", "O", "O", "O", "O", "O", "O", "O", "O", "O", "O", "O", "O", "O", "O", "O", "O", "O"],
  "fractional_positions": [[0.0696, 0.2350, 0.1333], [0.0712, 0.4780, 0.8738], [0.1698, 0.0238, 0.8603], [0.1810, 0.7766, 0.1318], [0.3190, 0.2234, 0.6318], [0.3302, 0.9762, 0.3603], [0.4288, 0.5220, 0.3738], [0.4304, 0.7650, 0.6333], [0.5696, 0.2650, 0.8667], [0.5712, 0.0220, 0.1262], [0.6698, 0.4762, 0.1397], [0.6810, 0.7234, 0.8682], [0.8190, 0.2766, 0.3682], [0.8302, 0.5238, 0.6397], [0.9288, 0.9780, 0.6262], [0.9304, 0.7350, 0.3667], [0.0166, 0.4454, 0.9849], [0.0210, 0.2565, 0.2745], [0.0237, 0.2138, 0.0202], [0.0273, 0.5031, 0.7351], [0.0288, 0.9821, 0.9585], [0.0455, 0.7297, 0.0342], [0.0502, 0.2954, 0.6523], [0.0626, 0.0503, 0.3438], [0.2246, 0.6288, 0.3399], [0.2263, 0.0835, 0.6257], [0.2265, 0.4138, 0.3816], [0.2257, 0.8739, 0.6612], [0.2315, 0.6552, 0.6339], [0.2335, 0.8370, 0.3615], [0.2665, 0.1630, 0.8615], [0.2685, 0.3448, 0.1339], [0.2743, 0.1261, 0.1612], [0.2735, 0.5862, 0.8816], [0.2737, 0.9165, 0.1257], [0.2754, 0.3712, 0.8399], [0.4374, 0.9497, 0.8438], [0.4498, 0.7046, 0.1523], [0.4545, 0.2703, 0.5342], [0.4712, 0.0179, 0.4585], [0.4727, 0.4969, 0.2351], [0.4763, 0.7862, 0.5202], [0.4790, 0.7435, 0.7745], [0.4834, 0.5546, 0.4849], [0.5166, 0.0546, 0.0151], [0.5210, 0.2435, 0.7255], [0.5237, 0.2862, 0.9798], [0.5273, 0.9969, 0.2649], [0.5288, 0.5179, 0.0415], [0.5455, 0.7703, 0.9658], [0.5502, 0.2046, 0.3477], [0.5626, 0.4497, 0.6562], [0.7246, 0.8712, 0.6601], [0.7265, 0.0862, 0.6184], [0.7263, 0.4165, 0.3743], [0.7257, 0.6261, 0.3388], [0.7315, 0.8448, 0.3661], [0.7335, 0.6630, 0.6385], [0.7665, 0.3370, 0.1385], [0.7685, 0.1552, 0.8661], [0.7743, 0.3739, 0.8388], [0.7737, 0.5835, 0.8743], [0.7735, 0.9138, 0.1184], [0.7754, 0.1288, 0.1601], [0.9374, 0.5503, 0.1562], [0.9498, 0.7954, 0.8477], [0.9545, 0.2297, 0.4658], [0.9712, 0.4821, 0.5415], [0.9727, 0.0031, 0.7649], [0.9763, 0.7138, 0.4798], [0.9790, 0.7565, 0.2255], [0.9834, 0.9454, 0.5151]],
  "space_group": "No. 19",
  "e_tot_ev_per_atom": -8.04
}



4.
{
  "formula": "ReO2",
  "functional": "PBE",
  "state": "relaxed",
  "lattice": [[4.7964, 0.0000, 0.0000], [0.0000, 2.7700, 0.0000], [-1.5513, 0.0000, 4.8315]],
  "species": ["Re", "Re", "O", "O", "O", "O"],
  "fractional_positions": [[0.0000, 0.0000, 0.0000], [0.5000, 0.5000, 0.0000], [0.2471, 0.0000, 0.7328], [0.2529, 0.5000, 0.2672], [0.7471, 0.5000, 0.7328], [0.7529, 0.0000, 0.2672]],
  "space_group": "No. 12",
  "e_tot_ev_per_atom": -8.45
}



5.
{
  "formula": "ReO2",
  "functional": "PBE",
  "state": "relaxed",
  "lattice": [[4.3169, 0.0000, 0.0000], [0.0000, 4.3169, 0.0000], [0.0000, 0.0000, 4.3169]],
  "species": ["Re", "Re", "O", "O", "O", "O"],
  "fractional_positions": [[0.2500, 0.2500, 0.2500], [0.7500, 0.7500, 0.7500], [0.0000, 0.0000, 0.0000], [0.0000, 0.5000, 0.5000], [0.5000, 0.0000, 0.5000], [0.5000, 0.5000, 0.0000]],
  "space_group": "No. 224",
  "e_tot_ev_per_atom": -8.21
}



6.
{
  "formula": "ReO2",
  "functional": "PBE",
  "state": "relaxed",
  "lattice": [[3.1853, 0.0000, 0.0000], [-1.5926, 2.7585, 0.0000], [0.0000, 0.0000, 8.1542]],
  "species": ["Re", "Re", "O", "O", "O", "O"],
  "fractional_positions": [[0.3333, 0.6667, 0.0000], [0.6667, 0.3333, 0.5000], [0.0000, 0.0000, 0.1119], [0.0000, 0.0000, 0.6119], [0.3333, 0.6667, 0.3872], [0.6667, 0.3333, 0.8872]],
  "space_group": "No. 186",
  "e_tot_ev_per_atom": -8.30
}



7.
{
  "formula": "ReO2",
  "functional": "PBE",
  "state": "relaxed",
  "lattice": [[4.9034, 0.0000, 0.0000], [-2.4517, 4.2464, 0.0000], [0.0000, 0.0000, 5.3098]],
  "species": ["Re", "Re", "Re", "O", "O", "O", "O", "O", "O"],
  "fractional_positions": [[0.0000, 0.5363, 0.1667], [0.4637, 0.4637, 0.5000], [0.5363, 0.0000, 0.8333], [0.0126, 0.2964, 0.4341], [0.2839, 0.9874, 0.1008], [0.2964, 0.0126, 0.5659], [0.7036, 0.7161, 0.7674], [0.7161, 0.7036, 0.2326], [0.9874, 0.2839, 0.8992]],
  "space_group": "No. 152",
  "e_tot_ev_per_atom": -8.19
}



8.
{
  "formula": "ReO2",
  "functional": "PBE",
  "state": "relaxed",
  "lattice": [[4.8806, 0.0000, 0.0000], [0.0000, 4.8806, 0.0000], [0.0000, 0.0000, 4.8806]],
  "species": ["Re", "Re", "Re", "Re", "O", "O", "O", "O", "O", "O", "O", "O"],
  "fractional_positions": [[0.0000, 0.0000, 0.0000], [0.0000, 0.5000, 0.5000], [0.5000, 0.0000, 0.5000], [0.5000, 0.5000, 0.0000], [0.2500, 0.2500, 0.2500], [0.2500, 0.2500, 0.7500], [0.2500, 0.7500, 0.2500], [0.2500, 0.7500, 0.7500], [0.7500, 0.2500, 0.2500], [0.7500, 0.2500, 0.7500], [0.7500, 0.7500, 0.2500], [0.7500, 0.7500, 0.7500]],
  "space_group": "No. 225",
  "e_tot_ev_per_atom": -8.39
}



| no. | volume (Å³/f.u.) |
| --- | --- |
| 1 | 42 |
| 2 | 29 |
| 3 | 123 |
| 4 | 32 |
| 5 | 40 |
| 6 | 36 |
| 7 | 37 |
| 8 | 29 |